Entry 1:
The following is a DFT calculation (PBE) of crystalline Ca2HfRhPb at its relaxed geometry.

Cell: 5.718 5.449 5.718 Å, 90.00 90.00 90.00°
Sites, in units of the cell vectors:
1 Ca 0.000 0.000 0.500
2 Ca 0.500 0.000 0.000
3 Rh 0.500 0.500 0.500
4 Pb 0.000 0.500 0.000
5 Hf 0.000 0.000 0.000

***

Entry 2:
The following is a DFT calculation (PBE) of crystalline RbTlTe at its relaxed geometry.

Cell: 4.374 4.374 6.849 Å, 108.62 108.62 90.00°
Sites, in units of the cell vectors:
1 Te 0.926 0.926 0.853
2 Tl 0.313 0.313 0.627
3 Rb 0.610 0.610 0.220

Values from the calculation:
As for the formation energy (no corrections): -0.581 eV/atom. Its relative energy among the computed polymorphs is 101 meV per atom.

***

Entry 3:
The following is a DFT calculation (PBE) of crystalline LiCeTlI6 at its relaxed geometry.

Cell: 7.787 7.787 15.252 Å, 90.00 90.00 120.00°
Sites, in units of the cell vectors:
1 Tl 0.000 0.000 0.500
2 Tl 0.000 0.000 0.000
3 I 0.999 0.363 0.636
4 I 0.637 0.636 0.636
5 I 0.999 0.636 0.864
6 I 0.363 0.364 0.364
7 I 0.001 0.364 0.136
8 I 0.636 0.637 0.136
9 I 0.637 0.001 0.864
10 I 0.363 0.999 0.136
11 I 0.364 0.363 0.864
12 I 0.636 0.999 0.364
13 I 0.364 0.001 0.636
14 I 0.001 0.637 0.364
15 Li 0.667 0.333 0.750
16 Li 0.333 0.667 0.250
17 Ce 0.667 0.333 0.250
18 Ce 0.333 0.667 0.750

Values from the calculation:
As for the formation energy (no corrections): -1.044 eV/atom.

***

Entry 4:
The following is a DFT calculation (PBE) of crystalline KCa2Ir at its relaxed geometry.

Cell: 3.564 3.565 10.699 Å, 90.00 90.00 90.00°
Sites, in units of the cell vectors:
1 Ca 0.000 0.000 0.399
2 Ca 0.000 0.000 0.101
3 K 0.500 0.500 0.750
4 Ir 0.500 0.500 0.250

Values from the calculation:
Its relative energy among the computed polymorphs is 0 meV per atom.

***

Entry 5:
The following is a DFT calculation (PBE) of crystalline MnAl2Ag at its relaxed geometry.

Cell: 4.069 3.620 4.069 Å, 89.99 90.00 90.00°
Sites, in units of the cell vectors:
1 Al 0.000 0.125 0.875
2 Al 0.500 0.125 0.375
3 Ag 0.500 0.625 0.875
4 Mn 0.000 0.625 0.375

Values from the calculation:
Its relative energy among the computed polymorphs is 67 meV per atom.

***

Entry 6:
The following is a DFT calculation (PBE) of crystalline AcLa3 at its relaxed geometry.

Cell: 3.842 6.626 7.265 Å, 117.13 105.33 90.00°
Sites, in units of the cell vectors:
1 La 0.752 0.084 0.503
2 La 0.500 0.503 0.000
3 La 0.248 0.580 0.497
4 Ac 0.000 0.000 0.000

Values from the calculation:
Its relative energy among the computed polymorphs is 31 meV per atom.

***

Entry 7:
The following is a DFT calculation (PBE) of crystalline Cd7In12Sn at its relaxed geometry.

Cell: 6.122 10.464 10.464 Å, 63.71 78.75 101.25°
Sites, in units of the cell vectors:
1 In 0.781 0.059 0.468
2 In 0.751 0.532 0.527
3 In 0.722 0.473 0.059
4 In 0.458 0.207 0.584
5 In 0.749 0.791 0.793
6 In 0.278 0.527 0.941
7 In 0.251 0.209 0.207
8 In 0.042 0.584 0.209
9 In 0.249 0.468 0.473
10 In 0.542 0.793 0.416
11 In 0.958 0.416 0.791
12 In 0.219 0.941 0.532
13 Cd 0.410 0.306 0.844
14 Cd 0.746 0.156 0.151
15 Cd 0.590 0.694 0.156
16 Cd 0.254 0.844 0.849
17 Cd 0.897 0.151 0.694
18 Cd 0.103 0.849 0.306
19 Cd 0.500 0.000 0.000
20 Sn 0.000 0.000 0.000

***

Entry 8:
The following is a DFT calculation (PBE) of crystalline Li2As2O5 at its relaxed geometry.

Cell: 3.018 5.351 8.947 Å, 65.53 109.72 90.00°
Sites, in units of the cell vectors:
1 As 0.979 0.044 0.201
2 As 0.062 0.915 0.784
3 Li 0.500 0.433 0.722
4 Li 0.676 0.446 0.398
5 O 0.453 0.827 0.676
6 O 0.560 0.157 0.282
7 O 0.929 0.273 0.652
8 O 0.760 0.209 0.983
9 O 0.081 0.695 0.303

Values from the calculation:
As for the formation energy (no corrections): -1.477 eV/atom.

***

Number 1: volume 35.6 A^3/atom, energy -3.751 eV per atom. Number 2: volume 39.0 A^3/atom, energy -2.739 eV per atom. Number 3: volume 44.5 A^3/atom, energy -3.212 eV per atom. Number 4: volume 34.0 A^3/atom, energy -3.582 eV per atom. Number 5: volume 15.0 A^3/atom, energy -4.970 eV per atom. Number 6: volume 39.3 A^3/atom, energy -4.687 eV per atom. Number 7: volume 27.9 A^3/atom, energy -2.063 eV per atom. Number 8: volume 13.6 A^3/atom, energy -5.690 eV per atom.